Crystalline Tm8Te4As3Pb at its relaxed geometry. Source: Alexandria, functional PBE.

Cell lengths 8.427, 8.519, 8.427 Å; angles 119.64, 120.00, 90.00 degrees
Sites, in units of the cell vectors:
Tm 0.730 0.724 0.977
Tm 0.753 0.276 0.507
As 0.500 0.500 0.000
Tm 0.247 0.724 0.977
As 0.000 0.500 0.500
Tm 0.262 0.284 0.523
Tm 0.247 0.724 0.493
Te 0.500 0.000 0.500
Te 0.500 0.000 0.000
Tm 0.738 0.716 0.477
As 0.500 0.500 0.500
Te 0.000 0.000 0.000
Pb 0.000 0.500 0.000
Tm 0.753 0.276 0.023
Tm 0.270 0.276 0.023
Te 0.000 0.000 0.500

Computed properties:
Space-group type: R-3m
VASP energy in eV per cell: -86.3